Entry 1:
Entry from Alexandria: a relaxed ZnGe3Rh crystal (PBE).

Values from the calculation:
formation energy from the elements = 870 meV/atom
crystal system = cubic

Lattice parameters (Å, degrees): 4.6885 4.6885 4.6885 90.00 90.00 90.00
Space group Pm-3m (No. 221)
Symmetry-distinct sites (fractional):
Zn1 0.0000 0.0000 0.0000 [1 per cell]
Ge1 0.0000 0.0000 0.5000 [3 per cell]
Rh1 0.5000 0.5000 0.5000 [1 per cell]

***

Entry 2:
Entry from Alexandria: a relaxed BaSi2Rh crystal (PBE).

Values from the calculation:
crystal system = monoclinic
ΔE_f (raw) = -0.211 eV per atom

Lattice parameters (Å, degrees): 3.2034 4.2245 6.5407 90.00 95.81 90.00
Space group P2/m (No. 10)
Symmetry-distinct sites (fractional):
Ba1 0.0000 0.0000 0.0000 [1 per cell]
Si1 0.3941 0.5000 0.6712 [2 per cell]
Rh1 0.5000 0.0000 0.5000 [1 per cell]

***

Entry 3:
Entry from Alexandria: a relaxed RbThTcN4 crystal (PBE).

Values from the calculation:
crystal system = monoclinic
ΔE_f (raw) = -0.621 eV per atom

Lattice parameters (Å, degrees): 6.2279 5.9770 8.0257 90.00 104.19 90.00
Space group P2_1/m (No. 11)
Symmetry-distinct sites (fractional):
Rb1 0.2093 0.2500 0.4201 [2 per cell]
Th1 0.2849 0.2500 0.9407 [2 per cell]
Tc1 0.2418 0.7500 0.1513 [2 per cell]
N1 0.0523 0.7500 0.9445 [2 per cell]
N2 0.0533 0.7500 0.2907 [2 per cell]
N3 0.4367 0.5141 0.1641 [4 per cell]

***

Entry 4:
Entry from Alexandria: a relaxed PrScAg4 crystal (PBE).

Values from the calculation:
formation energy from the elements = -114 meV/atom
crystal system = cubic

Lattice parameters (Å, degrees): 8.0451 8.0451 8.0451 90.00 90.00 90.00
Space group F-43m (No. 216)
Symmetry-distinct sites (fractional):
Pr1 0.0000 0.0000 0.0000 [4 per cell]
Sc1 0.2500 0.2500 0.2500 [4 per cell]
Ag1 0.1243 0.1243 0.6243 [16 per cell]

***

Entry 5:
Entry from Alexandria: a relaxed InCu2Te2 crystal (PBE).

Values from the calculation:
crystal system = tetragonal
ΔE_f (raw) = 0.205 eV per atom

Lattice parameters (Å, degrees): 8.3538 8.3538 3.2429 90.00 90.00 90.00
Space group P4/mbm (No. 127)
Symmetry-distinct sites (fractional):
In1 0.0000 0.0000 0.0000 [2 per cell]
Cu1 0.1123 0.3877 0.5000 [4 per cell]
Te1 0.1709 0.6709 0.0000 [4 per cell]

***

Entry 6:
Entry from Alexandria: a relaxed Dy5Co2Rh crystal (PBE).

Values from the calculation:
formation energy from the elements = -381 meV/atom
crystal system = tetragonal

Lattice parameters (Å, degrees): 7.1198 7.1198 14.2021 90.00 90.00 90.00
Space group I4/mcm (No. 140)
Symmetry-distinct sites (fractional):
Dy1 0.0000 0.0000 0.0000 [4 per cell]
Dy2 0.1770 0.3230 0.1413 [16 per cell]
Co1 0.1128 0.3872 0.5000 [8 per cell]
Rh1 0.0000 0.0000 0.2500 [4 per cell]

***

Entry 7:
Entry from Alexandria: a relaxed NaVP2 crystal (PBE).

Values from the calculation:
formation energy from the elements = -397 meV/atom
crystal system = trigonal

Lattice parameters (Å, degrees): 3.1408 3.1408 23.3083 90.00 90.00 120.00
Space group R-3m (No. 166, hexagonal axes)
Symmetry-distinct sites (fractional):
Na1 0.0000 0.0000 0.0000 [3 per cell]
V1 0.0000 0.0000 0.5000 [3 per cell]
P1 0.0000 0.0000 0.2349 [6 per cell]

***

Entry 8:
Entry from Alexandria: a relaxed NaCBr2F crystal (PBE).

Values from the calculation:
crystal system = tetragonal
ΔE_f (raw) = 0.852 eV per atom

Lattice parameters (Å, degrees): 5.3551 5.3551 3.9861 90.00 90.00 90.00
Space group P4/mmm (No. 123)
Symmetry-distinct sites (fractional):
Na1 0.0000 0.0000 0.0000 [1 per cell]
C1 0.5000 0.5000 0.5000 [1 per cell]
Br1 0.0000 0.5000 0.0000 [2 per cell]
F1 0.0000 0.0000 0.5000 [1 per cell]

***

| no. | size of the total moment (μB per cell) |
| --- | --- |
| 1 | 0.0 |
| 2 | 0.0 |
| 3 | 0.0 |
| 4 | 0.0 |
| 5 | 0.0 |
| 6 | 0.0 |
| 7 | 0.0 |
| 8 | 0.0 |